No. 1
# Ca2WBr (PBEsol, relaxed)
# Energy (eV/atom): -4.662
data_Ca2WBr
_symmetry_space_group_name_H-M 'P 4/m m m'
_symmetry_Int_Tables_number 123
_symmetry_space_group_name_Hall '-P 4 2'
_cell_length_a 5.498
_cell_length_b 5.498
_cell_length_c 3.102
_cell_angle_alpha 90.00
_cell_angle_beta 90.00
_cell_angle_gamma 90.00
loop_
_atom_site_label
_atom_site_type_symbol
_atom_site_fract_x
_atom_site_fract_y
_atom_site_fract_z
Ca1 Ca 0.000 0.500 0.000
W1 W 0.000 0.000 0.500
Br1 Br 0.500 0.500 0.500

No. 2
# Co5Ru (PBEsol, relaxed)
# Energy relative to the elements (eV per atom): 0.08
data_Co5Ru
_symmetry_space_group_name_H-M 'A m m 2'
_symmetry_Int_Tables_number 38
_cell_length_a 3.990
_cell_length_b 2.507
_cell_length_c 12.963
_cell_angle_alpha 90.00
_cell_angle_beta 90.00
_cell_angle_gamma 90.00
loop_
_symmetry_equiv_pos_as_xyz
'x,y,z'
'-x,-y,z'
'-x,y,z'
'x,-y,z'
'x,y+1/2,z+1/2'
'-x,-y+1/2,z+1/2'
'-x,y+1/2,z+1/2'
'x,-y+1/2,z+1/2'
loop_
_atom_site_label
_atom_site_type_symbol
_atom_site_fract_x
_atom_site_fract_y
_atom_site_fract_z
Co1 Co 0.000 0.000 0.000
Co2 Co 0.000 0.000 0.327
Co3 Co 0.000 0.000 0.663
Co4 Co 0.500 0.000 0.112
Co5 Co 0.500 0.000 0.772
Ru1 Ru 0.500 0.000 0.442

No. 3
# CaGaBiB2O7 (PBEsol, relaxed)
# Energy (eV/atom): -7.347
data_CaGaBiB2O7
_symmetry_space_group_name_H-M 'C m m 2'
_symmetry_Int_Tables_number 35
_cell_length_a 10.469
_cell_length_b 10.485
_cell_length_c 4.782
_cell_angle_alpha 90.00
_cell_angle_beta 90.00
_cell_angle_gamma 90.00
loop_
_symmetry_equiv_pos_as_xyz
'x,y,z'
'-x,-y,z'
'-x,y,z'
'x,-y,z'
'x+1/2,y+1/2,z'
'-x+1/2,-y+1/2,z'
'-x+1/2,y+1/2,z'
'x+1/2,-y+1/2,z'
loop_
_atom_site_label
_atom_site_type_symbol
_atom_site_fract_x
_atom_site_fract_y
_atom_site_fract_z
Ca1 Ca 0.162 0.000 0.000
Ga1 Ga 0.250 0.250 0.507
Bi1 Bi 0.000 0.334 0.011
B1 B 0.000 0.131 0.449
B2 B 0.135 0.500 0.562
O1 O 0.000 0.000 0.346
O2 O 0.000 0.144 0.747
O3 O 0.000 0.500 0.660
O4 O 0.114 0.192 0.298
O5 O 0.148 0.500 0.267
O6 O 0.193 0.386 0.715

No. 4
# Zr2ScNi (PBEsol, relaxed)
# Energy relative to the elements (eV per atom): -0.03
data_Zr2ScNi
_symmetry_space_group_name_H-M 'P 1 m 1'
_symmetry_Int_Tables_number 6
_cell_length_a 3.282
_cell_length_b 4.207
_cell_length_c 5.713
_cell_angle_alpha 90.00
_cell_angle_beta 104.32
_cell_angle_gamma 90.00
loop_
_symmetry_equiv_pos_as_xyz
'x,y,z'
'x,-y,z'
loop_
_atom_site_label
_atom_site_type_symbol
_atom_site_fract_x
_atom_site_fract_y
_atom_site_fract_z
Zr1 Zr 0.000 0.000 0.000
Zr2 Zr 0.404 0.500 0.729
Sc1 Sc 0.805 0.000 0.452
Ni1 Ni 0.405 0.500 0.222

No. 5
# Ba2AgSnGe (PBEsol, relaxed)
# Energy relative to the elements (eV per atom): -0.01
data_Ba2AgSnGe
_symmetry_space_group_name_H-M 'P 4/m m m'
_symmetry_Int_Tables_number 123
_symmetry_space_group_name_Hall '-P 4 2'
_cell_length_a 6.263
_cell_length_b 6.263
_cell_length_c 5.119
_cell_angle_alpha 90.00
_cell_angle_beta 90.00
_cell_angle_gamma 90.00
loop_
_atom_site_label
_atom_site_type_symbol
_atom_site_fract_x
_atom_site_fract_y
_atom_site_fract_z
Ba1 Ba 0.000 0.500 0.000
Ag1 Ag 0.000 0.000 0.500
Sn1 Sn 0.500 0.500 0.500
Ge1 Ge 0.500 0.500 0.000

No. 6
# RbMgAsBr2 (PBEsol, relaxed)
# Energy (eV/atom): -2.012
data_RbMgAsBr2
_symmetry_space_group_name_H-M 'P 4/m m m'
_symmetry_Int_Tables_number 123
_symmetry_space_group_name_Hall '-P 4 2'
_cell_length_a 6.127
_cell_length_b 6.127
_cell_length_c 6.161
_cell_angle_alpha 90.00
_cell_angle_beta 90.00
_cell_angle_gamma 90.00
loop_
_atom_site_label
_atom_site_type_symbol
_atom_site_fract_x
_atom_site_fract_y
_atom_site_fract_z
Rb1 Rb 0.000 0.000 0.000
Mg1 Mg 0.500 0.500 0.500
As1 As 0.000 0.000 0.500
Br1 Br 0.000 0.500 0.000

No. 7
# MgGa (PBEsol, relaxed)
# Energy relative to the elements (eV per atom): -0.15
data_MgGa
_symmetry_space_group_name_H-M 'C 1 2/m 1'
_symmetry_Int_Tables_number 12
_cell_length_a 19.537
_cell_length_b 3.131
_cell_length_c 4.924
_cell_angle_alpha 90.00
_cell_angle_beta 94.19
_cell_angle_gamma 90.00
loop_
_symmetry_equiv_pos_as_xyz
'x,y,z'
'-x,-y,-z'
'-x,y,-z'
'x,-y,z'
'x+1/2,y+1/2,z'
'-x+1/2,-y+1/2,-z'
'-x+1/2,y+1/2,-z'
'x+1/2,-y+1/2,z'
loop_
_atom_site_label
_atom_site_type_symbol
_atom_site_fract_x
_atom_site_fract_y
_atom_site_fract_z
Mg1 Mg 0.070 0.000 0.352
Mg2 Mg 0.179 0.000 0.887
Ga1 Ga 0.052 0.500 0.842
Ga2 Ga 0.196 0.500 0.385

No. 8
# Te2MoO7 (PBEsol, relaxed)
# Energy (eV/atom): -6.967
data_Te2MoO7
_symmetry_space_group_name_H-M 'P 1 21/c 1'
_symmetry_Int_Tables_number 14
_cell_length_a 4.155
_cell_length_b 8.863
_cell_length_c 15.693
_cell_angle_alpha 90.00
_cell_angle_beta 94.85
_cell_angle_gamma 90.00
loop_
_symmetry_equiv_pos_as_xyz
'x,y,z'
'-x,-y,-z'
'-x,y+1/2,-z+1/2'
'x,-y+1/2,z+1/2'
loop_
_atom_site_label
_atom_site_type_symbol
_atom_site_fract_x
_atom_site_fract_y
_atom_site_fract_z
Te1 Te 0.138 0.041 0.279
Te2 Te 0.328 0.207 0.608
Mo1 Mo 0.108 0.633 0.569
O1 O 0.017 0.677 0.066
O2 O 0.028 0.105 0.051
O3 O 0.048 0.599 0.687
O4 O 0.095 0.645 0.860
O5 O 0.423 0.023 0.685
O6 O 0.433 0.159 0.199
O7 O 0.479 0.123 0.931

> What is the formula in the first record?

Ca2WBr